Record 1
# RbNaSc2

A relaxed structure of RbNaSc2 (GGA-PBE, Alexandria).

Results
Its raw total energy is -12.5 eV/cell. The value obtained for the formation energy is 0.61 eV per atom. The energy above the most stable polymorph in this dataset is 0.000 eV/atom.

abc: 13.1161 13.1161 13.1161
angles: 14.78 14.78 14.78
Positions (direct):
Rb: 0.0000 0.0000 0.0000
Na: 0.5000 0.5000 0.5000
Sc: 0.0894 0.0894 0.0894
Sc: 0.9106 0.9106 0.9106

***

Record 2
# RbNaSc3

A relaxed structure of RbNaSc3 (GGA-PBE, Alexandria).

Results
Its raw total energy is -14.0 eV/cell. The value obtained for the formation energy is 1.45 eV per atom. The energy above the most stable polymorph in this dataset is 0.344 eV/atom.

abc: 5.3312 5.3312 5.3312
angles: 90.00 90.00 90.00
Positions (direct):
Rb: 0.0000 0.0000 0.0000
Na: 0.5000 0.5000 0.5000
Sc: 0.0000 0.0000 0.5000
Sc: 0.0000 0.5000 0.0000
Sc: 0.5000 0.0000 0.0000